[1]
BaTlPb: relaxed, PBE.

Structure (CIF):
```
data_BaTlPb
_cell_length_a 8.511
_cell_length_b 5.205
_cell_length_c 15.167
_cell_angle_alpha 90.00
_cell_angle_beta 92.00
_cell_angle_gamma 90.00
_space_group_name_H-M_alt 'P 1 21/m 1'
_space_group_IT_number 11
loop_
_space_group_symop_operation_xyz
'x,y,z'
'-x,-y,-z'
'-x,y+1/2,-z'
'x,-y+1/2,z'
loop_
_atom_site_label
_atom_site_type_symbol
_atom_site_fract_x
_atom_site_fract_y
_atom_site_fract_z
Ba1 Ba 0.015 0.250 0.129
Ba2 Ba 0.177 0.250 0.417
Ba3 Ba 0.482 0.750 0.805
Tl1 Tl 0.153 0.250 0.715
Tl2 Tl 0.339 0.750 0.051
Tl3 Tl 0.499 0.250 0.591
Pb1 Pb 0.231 0.750 0.253
Pb2 Pb 0.258 0.750 0.594
Pb3 Pb 0.276 0.250 0.934
```

- energy of formation from the pure elements (eV/atom) = -0.416
- DFT total energy (eV/atom) = -3.081

***

[2]
ErPa4N7: relaxed, PBE.

Structure (CIF):
```
data_ErPa4N7
_cell_length_a 11.337
_cell_length_b 3.384
_cell_length_c 9.530
_cell_angle_alpha 90.00
_cell_angle_beta 106.80
_cell_angle_gamma 90.00
_space_group_name_H-M_alt 'C 1 m 1'
_space_group_IT_number 8
loop_
_space_group_symop_operation_xyz
'x,y,z'
'x,-y,z'
'x+1/2,y+1/2,z'
'x+1/2,-y+1/2,z'
loop_
_atom_site_label
_atom_site_type_symbol
_atom_site_fract_x
_atom_site_fract_y
_atom_site_fract_z
Er1 Er 0.000 0.000 0.000
Pa1 Pa 0.110 0.000 0.417
Pa2 Pa 0.222 0.000 0.840
Pa3 Pa 0.304 0.500 0.224
Pa4 Pa 0.415 0.000 0.608
N1 N 0.059 0.000 0.627
N2 N 0.115 0.500 0.916
N3 N 0.163 0.000 0.212
N4 N 0.267 0.500 0.457
N5 N 0.344 0.500 0.774
N6 N 0.365 0.000 0.060
N7 N 0.455 0.000 0.379
```

- DFT total energy (eV/atom) = -9.997
- energy relative to the elements, uncorrected (eV/atom) = -1.595